Material: KZn2Ru
Method: DFT, PBE
State: relaxed

## Properties
The calculation puts the total energy at -10.29 eV per formula unit. The formation energy from the elements is 658 meV per atom. The value obtained for the size of the total moment is 0.1 μB/f.u. The mass density is 6.000 g/cm3. As for the energy relative to the lowest polymorph listed for this composition: 428.5 meV per atom.

Geometry as CIF:
```
data_KZn2Ru
_cell_length_a 5.064
_cell_length_b 2.745
_cell_length_c 5.502
_cell_angle_alpha 90.00
_cell_angle_beta 101.29
_cell_angle_gamma 90.00
_symmetry_space_group_name_H-M 'P 1 2/m 1'
_symmetry_Int_Tables_number 10
_symmetry_space_group_name_Hall '-P 2y'
loop_
_atom_site_label
_atom_site_type_symbol
_atom_site_fract_x
_atom_site_fract_y
_atom_site_fract_z
K1 K 0.000 0.000 0.000
Zn1 Zn 0.000 0.000 0.500
Zn2 Zn 0.500 0.500 0.000
Ru1 Ru 0.500 0.500 0.500
```